Record 1
Below is a relaxed NbAlFeNi crystal, with properties calculated at the GGA-PBE level.

abc: 4.2391 4.2391 4.2391
angles: 60.00 60.00 60.00
Positions (direct):
Ni 0.2500 0.2500 0.2500
Nb 0.5000 0.5000 0.5000
Fe 0.7500 0.7500 0.7500
Al 0.0000 0.0000 0.0000

Values from the calculation:
The calculation puts the calculated volume at 54 Å³/cell. For the total moment, the calculation gives 1.59 μB per cell. The final energy is -29.40 eV/cell. Its formation energy is -334.8 meV/atom.

---

Record 2
Below is a relaxed TmHf2Sc8 crystal, with properties calculated at the GGA-PBE level.

abc: 4.5579 7.2986 8.6483
angles: 104.42 105.28 90.00
Positions (direct):
Tm 0.5000 0.0000 0.0000
Hf 0.2286 0.6274 0.4573
Hf 0.7714 0.3726 0.5427
Sc 0.5975 0.4611 0.1950
Sc 0.3160 0.0934 0.6319
Sc 0.1423 0.1949 0.2847
Sc 0.0486 0.7233 0.0973
Sc 0.8577 0.8051 0.7153
Sc 0.6840 0.9066 0.3681
Sc 0.4025 0.5389 0.8050
Sc 0.9514 0.2767 0.9027

Values from the calculation:
The calculation puts the calculated volume at 268 Å³/cell. For the total moment, the calculation gives 0.00 μB per cell. The final energy is -74.44 eV/cell. Its formation energy is 53.7 meV/atom.

---

Record 3
Below is a relaxed TlCdIn crystal, with properties calculated at the GGA-PBE level.

abc: 5.3552 5.3552 3.3380
angles: 90.00 90.00 120.00
Positions (direct):
Tl 0.3333 0.6667 0.6659
Cd 0.0000 0.0000 0.1678
In 0.6667 0.3333 0.1664

Values from the calculation:
The calculation puts the calculated volume at 83 Å³/cell. For the total moment, the calculation gives 0.00 μB per cell. The final energy is -5.88 eV/cell. Its formation energy is 46.8 meV/atom.

---

Record 4
Below is a relaxed TiGaRu crystal, with properties calculated at the GGA-PBE level.

abc: 2.8542 4.2782 4.2782
angles: 120.00 90.00 90.00
Positions (direct):
Ru 0.0281 0.0000 0.0000
Ga 0.2641 0.6667 0.3333
Ti 0.7079 0.3333 0.6667

Values from the calculation:
The calculation puts the calculated volume at 45 Å³/cell. For the total moment, the calculation gives 0.00 μB per cell. The final energy is -21.48 eV/cell. Its formation energy is -428.2 meV/atom.

---

Record 5
Below is a relaxed Ba5RuO8 crystal, with properties calculated at the GGA-PBE level.

abc: 7.6648 7.6648 7.6648
angles: 119.99 90.03 119.99
Positions (direct):
Ba 0.8728 0.2579 0.1284
Ba 0.8716 0.7443 0.1294
Ba 0.8706 0.7421 0.6149
Ba 0.5000 0.0000 0.5000
Ba 0.3851 0.2557 0.1272
Ru 0.2500 0.5000 0.7500
O 0.1534 0.6930 0.8465
O 0.1535 0.3069 0.8465
O 0.6403 0.2799 0.3590
O 0.6410 0.2813 0.9209
O 0.6396 0.7187 0.3597
O 0.5396 0.6931 0.8466
O 0.1535 0.3070 0.4604
O 0.0791 0.7201 0.3604

Values from the calculation:
The calculation puts the calculated volume at 318 Å³/cell. For the total moment, the calculation gives 2.00 μB per cell. The final energy is -86.92 eV/cell. Its uncorrected formation energy is -2.026 eV per atom.

---

Record 6
Below is a relaxed WBr2Cl crystal, with properties calculated at the GGA-PBE level.

abc: 5.0301 5.0301 3.2758
angles: 90.00 90.00 90.00
Positions (direct):
Br 0.0000 0.0000 0.0000
Br 0.5000 0.5000 0.0000
W 0.0000 0.5000 0.5000
Cl 0.5000 0.0000 0.5000

Values from the calculation:
The calculation puts the calculated volume at 83 Å³/cell. For the total moment, the calculation gives 2.19 μB per cell. The final energy is -13.67 eV/cell. Its uncorrected formation energy is 1.119 eV per atom. The relative energy among the computed polymorphs is 1376 meV/atom.

---

Record 7
Below is a relaxed Tl4ZnBr6 crystal, with properties calculated at the GGA-PBE level.

abc: 8.2307 8.6783 15.5360
angles: 71.47 74.64 61.69
Positions (direct):
Tl 0.3270 0.9848 0.6165
Tl 0.0718 0.4848 0.1165
Tl 0.7982 0.2908 0.4368
Tl 0.4743 0.7908 0.9368
Tl 0.9739 0.6402 0.6690
Tl 0.7168 0.1402 0.1690
Tl 0.6908 0.2233 0.8097
Tl 0.2761 0.7233 0.3097
Zn 0.6620 0.7781 0.4084
Zn 0.1515 0.2781 0.9084
Br 0.4125 0.5473 0.1327
Br 0.9074 0.0473 0.6327
Br 0.4272 0.6731 0.5039
Br 0.3958 0.1731 0.0039
Br 0.5496 0.0947 0.4036
Br 0.9522 0.5947 0.9036
Br 0.9957 0.0793 0.9644
Br 0.9606 0.5793 0.4644
Br 0.0362 0.1390 0.2545
Br 0.5703 0.6390 0.7545
Br 0.3175 0.2356 0.7548
Br 0.6921 0.7356 0.2548

Values from the calculation:
The calculation puts the calculated volume at 918 Å³/cell. For the total moment, the calculation gives 0.00 μB per cell. The final energy is -60.36 eV/cell. Its uncorrected formation energy is -0.855 eV per atom.

---

Record 8
Below is a relaxed LiTiB crystal, with properties calculated at the GGA-PBE level.

abc: 3.8545 3.8568 5.6612
angles: 70.07 89.99 119.98
Positions (direct):
B 0.2173 0.3014 0.4697
B 0.3306 0.5288 0.1299
Ti 0.4791 0.8260 0.6831
Ti 0.9255 0.7174 0.3460
Li 0.0805 0.0289 0.8790
Li 0.6912 0.2498 0.0479

Values from the calculation:
The calculation puts the calculated volume at 67 Å³/cell. For the total moment, the calculation gives 0.00 μB per cell. The final energy is -33.59 eV/cell. The relative energy among the computed polymorphs is 309 meV/atom. Its formation energy is -102.8 meV/atom.

---

Record 9
Below is a relaxed MgCuP crystal, with properties calculated at the GGA-PBE level.

abc: 6.8621 6.8621 3.4325
angles: 90.00 90.00 120.00
Positions (direct):
Mg 0.0000 0.7161 0.5000
Mg 0.2839 0.2839 0.5000
Mg 0.7161 0.0000 0.5000
Cu 0.0000 0.0000 0.0000
Cu 0.6667 0.3333 0.5000
Cu 0.3333 0.6667 0.5000
P 0.0000 0.3591 0.0000
P 0.6409 0.6409 0.0000
P 0.3591 0.0000 0.0000

Values from the calculation:
The calculation puts the calculated volume at 140 Å³/cell. For the total moment, the calculation gives 0.00 μB per cell. The final energy is -33.38 eV/cell. Its formation energy is -8.8 meV/atom.

---

Record 10
Below is a relaxed Na5Ac3Cl12 crystal, with properties calculated at the GGA-PBE level.

abc: 14.4067 14.4067 14.4067
angles: 109.47 109.47 109.47
Positions (direct):
Ac 0.7500 0.3750 0.1250
Ac 0.8750 0.7500 0.1250
Ac 0.3750 0.7500 0.6250
Ac 0.2500 0.1250 0.3750
Ac 0.8750 0.1250 0.2500
Ac 0.3750 0.6250 0.2500
Ac 0.6250 0.3750 0.7500
Ac 0.1250 0.8750 0.7500
Ac 0.7500 0.8750 0.6250
Ac 0.6250 0.2500 0.3750
Ac 0.1250 0.2500 0.8750
Ac 0.2500 0.6250 0.8750
Na 0.1250 0.3750 0.2500
Na 0.0000 0.5000 0.0000
Na 0.0000 0.0000 0.0000
Na 0.3750 0.2500 0.1250
Na 0.5000 0.0000 0.5000
Na 0.5000 0.5000 0.0000
Na 0.1250 0.7500 0.3750
Na 0.7500 0.1250 0.8750
Na 0.7500 0.6250 0.3750
Na 0.3750 0.1250 0.7500
Na 0.6250 0.8750 0.2500
Na 0.5000 0.5000 0.5000
Na 0.5000 0.0000 0.0000
Na 0.0000 0.0000 0.5000
Na 0.2500 0.3750 0.6250
Na 0.2500 0.8750 0.1250
Na 0.0000 0.5000 0.5000
Na 0.8750 0.2500 0.6250
Na 0.6250 0.7500 0.8750
Na 0.8750 0.6250 0.7500
Cl 0.7200 0.1299 0.0446
Cl 0.3245 0.5446 0.4146
Cl 0.9554 0.3701 0.2800
Cl 0.5446 0.2200 0.1299
Cl 0.5901 0.7200 0.6755
Cl 0.9554 0.5854 0.1755
Cl 0.3245 0.7800 0.4099
Cl 0.0854 0.9099 0.1299
Cl 0.5854 0.9554 0.6755
Cl 0.7200 0.5901 0.1755
Cl 0.7800 0.4554 0.3701
Cl 0.8245 0.9146 0.0446
Cl 0.1299 0.7200 0.5446
Cl 0.3701 0.4146 0.0901
Cl 0.0901 0.9146 0.3701
Cl 0.4099 0.1299 0.5854
Cl 0.0901 0.1755 0.2200
Cl 0.4554 0.6755 0.0854
Cl 0.8245 0.9099 0.2800
Cl 0.1299 0.4099 0.0854
Cl 0.3701 0.9554 0.7800
Cl 0.5854 0.6299 0.4099
Cl 0.9146 0.8245 0.5446
Cl 0.7800 0.3245 0.9099
Cl 0.4146 0.3701 0.5901
Cl 0.0854 0.1755 0.4554
Cl 0.2200 0.6755 0.0901
Cl 0.1755 0.0901 0.7200
Cl 0.6299 0.0446 0.2200
Cl 0.8701 0.5901 0.9146
Cl 0.5446 0.3245 0.9146
Cl 0.5901 0.8701 0.4146
Cl 0.9099 0.8245 0.7800
Cl 0.9099 0.0854 0.6299
Cl 0.8701 0.2800 0.4554
Cl 0.1755 0.0854 0.9554
Cl 0.6299 0.5854 0.9099
Cl 0.4146 0.0446 0.3245
Cl 0.2800 0.4099 0.8245
Cl 0.2200 0.5446 0.6299
Cl 0.9146 0.0901 0.8701
Cl 0.6755 0.2200 0.5901
Cl 0.4554 0.7800 0.8701
Cl 0.0446 0.4146 0.8245
Cl 0.4099 0.2800 0.3245
Cl 0.0446 0.6299 0.7200
Cl 0.6755 0.4554 0.5854
Cl 0.2800 0.8701 0.9554

Values from the calculation:
The calculation puts the calculated volume at 2302 Å³/cell. For the total moment, the calculation gives 0.00 μB per cell. The final energy is -317.85 eV/cell. Its uncorrected formation energy is -1.919 eV per atom.

---

Record 11
Below is a relaxed HfBiIO2 crystal, with properties calculated at the GGA-PBE level.

abc: 4.2311 4.2311 6.1061
angles: 90.00 90.00 90.00
Positions (direct):
I 0.0000 0.0000 0.5000
Hf 0.0000 0.0000 0.0000
Bi 0.5000 0.5000 0.5000
O 0.0000 0.5000 0.0000
O 0.5000 0.0000 0.0000

Values from the calculation:
The calculation puts the calculated volume at 109 Å³/cell. For the total moment, the calculation gives 0.91 μB per cell. The final energy is -31.19 eV/cell. Its uncorrected formation energy is -1.177 eV per atom. The relative energy among the computed polymorphs is 0 meV/atom.

---

Record 12
Below is a relaxed Tm2Zn2Ge3 crystal, with properties calculated at the GGA-PBE level.

abc: 4.1655 7.8011 9.3970
angles: 82.76 77.19 74.52
Positions (direct):
Tm 0.2657 0.1343 0.3344
Tm 0.7343 0.8657 0.6656
Tm 0.4096 0.2495 0.9313
Tm 0.5904 0.7505 0.0687
Zn 0.0499 0.2160 0.6843
Zn 0.9501 0.7840 0.3157
Zn 0.4028 0.5297 0.6648
Zn 0.5972 0.4703 0.3352
Ge 0.0907 0.9446 0.8740
Ge 0.9093 0.0554 0.1260
Ge 0.1702 0.4870 0.1726
Ge 0.8298 0.5130 0.8274
Ge 0.3801 0.7741 0.4658
Ge 0.6199 0.2259 0.5342

Values from the calculation:
The calculation puts the calculated volume at 286 Å³/cell. For the total moment, the calculation gives 0.00 μB per cell. The final energy is -57.81 eV/cell. Its formation energy is -509.1 meV/atom.